The following is a GGA-PBEsol calculation of K3GeN after structural relaxation, from the Alexandria database.

Cell: 6.396 6.396 6.396 Å, 90.00 90.00 90.00°
Element x y z (fractional)
K (0.000, 0.000, 0.500)
K (0.000, 0.500, 0.000)
K (0.500, 0.000, 0.000)
Ge (0.000, 0.000, 0.000)
N (0.500, 0.500, 0.500)

## Properties
space group = Pm-3m (221)
calculated density = 1.29 g/cm³
density of states at the Fermi level = 2.53 states/eV per cell
raw total energy = -0.084 hartree per atom
formation energy without anion corrections = 5.39 eV per formula unit

---

The following is a GGA-PBEsol calculation of CrCuCI2 after structural relaxation, from the Alexandria database.

Cell: 5.196 5.196 4.668 Å, 90.00 90.00 90.00°
Element x y z (fractional)
Cr (0.000, 0.000, 0.000)
Cu (0.000, 0.000, 0.500)
C (0.500, 0.500, 0.500)
I (0.000, 0.500, 0.000)
I (0.500, 0.000, 0.000)

## Properties
space group = P4/mmm (123)
calculated density = 5.02 g/cm³
density of states at the Fermi level = 4.44 states/eV per cell
raw total energy = -0.133 hartree per atom
formation energy without anion corrections = 9.65 eV per formula unit

---

The following is a GGA-PBEsol calculation of ZrAgMo3 after structural relaxation, from the Alexandria database.

Cell: 4.720 4.720 4.720 Å, 90.00 90.00 90.00°
Element x y z (fractional)
Zr (0.000, 0.000, 0.000)
Ag (0.500, 0.500, 0.500)
Mo (0.000, 0.500, 0.500)
Mo (0.500, 0.000, 0.500)
Mo (0.500, 0.500, 0.000)

## Properties
calculated formation energy = 2162.7 meV per atom
space group = Pm-3m (221)
calculated density = 7.69 g/cm³
density of states at the Fermi level = 10.59 states/eV per cell
raw total energy = -0.271 hartree per atom